TaGa3C | SCAN | single point on PBEsol structure

Cell and atoms, written as POSCAR:
```
TaGa3C
1.0
-3.3977 -2.4400 0.2512
0.6219 -0.4418 4.1206
-2.3727 3.3782 0.7203
C Ga Ta
1 3 1
Direct
0.0000 0.0000 0.0000
0.5000 0.0000 0.0000
0.0000 0.5000 0.0000
0.0000 0.0000 0.5000
0.5000 0.5000 0.5000
```

Calculated values
The total energy is -24.064 eV/atom. For the distance to the lowest polymorph of the same formula, the calculation gives 0.000 eV/atom. The value obtained for the energy of formation is 1.08 eV per atom. As for the space-group type: No. 221.